# 1
Below is an optimized crystal structure of CaCoCuSb2, with properties calculated at the PBE level.

Summary:
Size of the total moment (Bohr magnetons per cell): 1.97
Uncorrected formation energy (eV/atom): 0.55

Cell and atoms, written as extended XYZ:
```
5
Lattice="5.029 0.000 0.000 0.000 5.080 0.000 0.000 0.000 5.029" Properties=species:S:1:pos:R:3 pbc="T T T"
Sb 0.000 0.000 2.514
Sb 2.514 0.000 0.000
Ca 0.000 2.540 0.000
Co 2.514 2.540 2.514
Cu 0.000 0.000 0.000
```



# 2
Below is an optimized crystal structure of Er2GaAs, with properties calculated at the PBE level.

Summary:
Size of the total moment (Bohr magnetons per cell): 0.00
Offset from the most stable computed form (meV per atom): 620

Cell and atoms, written as extended XYZ:
```
4
Lattice="-3.205 1.991 0.457 -2.906 -1.496 1.941 1.378 3.839 8.743" Properties=species:S:1:pos:R:3 pbc="T T T"
As -2.367 2.167 5.570
Ga 0.000 0.000 0.000
Er 0.293 2.672 6.219
Er -5.026 1.662 4.921
```



# 3
Below is an optimized crystal structure of TaCdAs2Se, with properties calculated at the PBE level.

Summary:
Size of the total moment (Bohr magnetons per cell): 0.00
Offset from the most stable computed form (meV per atom): 0
Uncorrected formation energy (eV/atom): 0.15

Cell and atoms, written as extended XYZ:
```
5
Lattice="-2.432 2.874 3.403 -4.244 -0.320 -2.764 -1.323 -4.086 2.505" Properties=species:S:1:pos:R:3 pbc="T T T"
As -2.122 -0.160 -1.382
As -1.216 1.437 1.701
Cd -4.000 -0.766 1.572
Se -0.662 -2.043 1.252
Ta 0.000 0.000 0.000
```



# 4
Below is an optimized crystal structure of CaNd7Er2, with properties calculated at the PBE level.

Summary:
Size of the total moment (Bohr magnetons per cell): 0.00
Offset from the most stable computed form (meV per atom): 560

Cell and atoms, written as extended XYZ:
```
10
Lattice="5.859 0.000 0.000 0.000 9.169 -0.297 0.000 -4.402 8.049" Properties=species:S:1:pos:R:3 pbc="T T T"
Ca 0.000 0.000 0.000
Nd 0.000 5.849 1.745
Nd 0.000 -1.082 6.007
Nd 2.929 -0.746 2.408
Nd 2.929 5.513 5.344
Nd 2.929 2.486 0.421
Nd 2.929 2.282 7.331
Nd 2.929 2.384 3.876
Er 2.929 5.167 2.164
Er 2.929 -0.400 5.588
```



# 5
Below is an optimized crystal structure of LaEr3Hg2, with properties calculated at the PBE level.

Summary:
Size of the total moment (Bohr magnetons per cell): 0.00
Energy (eV/atom): -3.468

Cell and atoms, written as extended XYZ:
```
12
Lattice="5.346 0.000 0.000 -2.673 9.071 -0.679 0.000 -4.730 7.519" Properties=species:S:1:pos:R:3 pbc="T T T"
La 2.673 2.318 6.440
La 0.000 2.023 0.400
Er 0.000 2.659 4.169
Er 2.673 5.087 3.863
Er 2.673 -1.226 5.174
Er 0.000 5.567 1.666
Er 0.000 -0.746 2.977
Er 2.673 1.683 2.671
Hg 2.673 -3.888 6.338
Hg 0.000 8.229 0.502
Hg 2.673 4.237 0.838
Hg 0.000 0.104 6.001
```



# 6
Below is an optimized crystal structure of Ba2CeMnS5, with properties calculated at the PBE level.

Summary:
Size of the total moment (Bohr magnetons per cell): 10.06
Uncorrected formation energy (eV/atom): -1.69

Cell and atoms, written as extended XYZ:
```
18
Lattice="-1.115 3.496 2.094 4.051 -5.125 6.453 11.449 5.393 -2.905" Properties=species:S:1:pos:R:3 pbc="T T T"
Ba 11.598 3.697 4.270
Ba 8.677 2.940 -0.287
Ba 4.670 0.955 0.894
Ba 4.293 0.157 6.288
Ce 7.564 2.545 4.044
Ce 1.677 -1.203 2.903
Mn 10.495 6.392 -0.819
Mn 8.040 -0.673 5.407
S 2.565 -2.282 5.177
S 10.830 5.242 1.280
S 12.343 0.810 5.225
S 9.681 1.567 2.542
S 8.551 1.440 6.414
S 6.370 3.479 1.848
S 6.555 -0.065 3.600
S 2.592 3.214 0.277
S 2.728 1.267 3.601
S 0.480 -0.198 0.586
```



# 7
Below is an optimized crystal structure of BSb3Ir, with properties calculated at the PBE level.

Summary:
Size of the total moment (Bohr magnetons per cell): 0.00
Offset from the most stable computed form (meV per atom): 0
Uncorrected formation energy (eV/atom): 0.95

Cell and atoms, written as extended XYZ:
```
5
Lattice="4.641 0.000 0.000 0.000 4.641 0.000 0.000 0.000 4.641" Properties=species:S:1:pos:R:3 pbc="T T T"
Sb 0.000 2.320 0.000
Sb 0.000 0.000 2.320
Sb 2.320 0.000 0.000
B 0.000 0.000 0.000
Ir 2.320 2.320 2.320
```



# 8
Below is an optimized crystal structure of TbPmNd2Y6, with properties calculated at the PBE level.

Summary:
Size of the total moment (Bohr magnetons per cell): 0.00
Energy (eV/atom): -5.655

Cell and atoms, written as extended XYZ:
```
20
Lattice="9.384 -2.191 -2.273 0.646 8.551 -1.973 0.646 -2.289 8.472" Properties=species:S:1:pos:R:3 pbc="T T T"
Tb 2.992 7.817 -2.361
Tb 7.684 -3.745 6.587
Pm 2.992 1.547 3.680
Pm 7.684 2.525 0.545
Nd 5.266 4.300 3.397
Nd 0.718 1.932 0.940
Nd 5.410 -0.228 0.829
Nd 9.958 2.140 3.286
Y 1.088 -0.793 5.933
Y 4.897 -0.791 5.935
Y 9.589 4.865 -1.708
Y 5.780 4.863 -1.709
Y 3.863 6.688 0.930
Y 2.121 4.486 -1.356
Y 6.813 -2.616 3.296
Y 8.555 -0.414 5.582
Y 1.892 4.618 2.551
Y 4.093 2.789 0.653
Y 8.785 -0.546 1.675
Y 6.584 1.283 3.573
```